Version i
DFT (GGA-PBE) results for a relaxed HgPb2F crystal.

Geometry as POSCAR:
```
HgPb2F
1.0
0.0000 3.6217 3.6217
3.6217 0.0000 3.6217
3.6217 3.6217 0.0000
Hg Pb F
1 2 1
Cartesian
0.0000 0.0000 0.0000 Hg
1.8109 1.8109 1.8109 Pb
5.4326 5.4326 5.4326 Pb
3.6217 3.6217 3.6217 F
```

Calculated volume (Å³ per cell): 95
Mass density (g cm⁻³): 11.08
Magnetic moment (μB per atom): 0.000
Crystal system: cubic

***

Version ii
DFT (GGA-PBE) results for a relaxed HgPb2F crystal.

Geometry as POSCAR:
```
HgPb2F
1.0
2.4578 1.4190 7.0842
-2.4578 1.4190 7.0842
0.0000 -2.8380 7.0842
Hg Pb F
1 2 1
Cartesian
0.0000 0.0000 0.0000 Hg
0.0000 0.0000 8.3002 Pb
0.0000 0.0000 12.9525 Pb
0.0000 0.0000 10.6263 F
```

Calculated volume (Å³ per cell): 148
Mass density (g cm⁻³): 7.10
Magnetic moment (μB per atom): 0.000
Crystal system: trigonal

***

version ii wins, 3.9 kJ/mol of atoms ahead of the next structure.

***

Version i
DFT (GGA-PBE) results for a relaxed Hg2PbF6 crystal.

Geometry as POSCAR:
```
Hg2PbF6
1.0
6.1517 0.0000 0.0000
-3.0758 5.3275 0.0000
0.0000 0.0000 5.0590
Hg Pb F
2 1 6
Cartesian
0.0000 3.5517 0.0000 Hg
3.0758 1.7758 0.0000 Hg
0.0000 0.0000 2.5295 Pb
-1.0368 1.7959 3.8850 F
-2.0390 3.5316 1.1739 F
2.0737 0.0000 3.8850 F
1.0368 1.7959 1.1739 F
4.0780 0.0000 1.1739 F
2.0390 3.5316 3.8850 F
```

Calculated volume (Å³ per cell): 166
Mass density (g cm⁻³): 7.23
Magnetic moment (μB per atom): 0.000
Crystal system: trigonal

***

Version ii
DFT (GGA-PBE) results for a relaxed Hg2PbF6 crystal.

Geometry as POSCAR:
```
Hg2PbF6
1.0
6.1610 -2.1869 0.0000
6.1610 2.1869 0.0000
-4.4508 0.0000 6.4257
Hg Pb F
2 1 6
Cartesian
1.6617 0.0000 0.7868 Hg
6.2094 0.0000 5.6388 Hg
-2.2254 0.0000 3.2128 Pb
-0.6798 0.0000 1.2315 F
-0.8993 0.0000 5.5012 F
2.5944 0.0000 2.7888 F
5.2767 0.0000 3.6369 F
8.7704 0.0000 0.9244 F
8.5509 0.0000 5.1942 F
```

Calculated volume (Å³ per cell): 173
Mass density (g cm⁻³): 6.93
Magnetic moment (μB per atom): 0.000
Crystal system: monoclinic

***

version ii wins, 0.6 kJ/mol of atoms ahead of the next structure.

***

Version i
DFT (GGA-PBE) results for a relaxed HgPb2F8 crystal.

Geometry as POSCAR:
```
HgPb2F8
1.0
5.0442 -3.6820 0.0000
5.0442 3.6820 0.0000
-1.2037 0.0000 5.0241
Hg Pb F
1 2 8
Cartesian
0.0000 0.0000 0.0000 Hg
2.5706 0.0000 2.8535 Pb
6.3141 0.0000 2.1707 Pb
2.7506 2.2666 3.4270 F
0.8403 0.0000 4.2479 F
6.1340 2.2666 1.5971 F
4.1902 0.0000 1.2360 F
4.6944 0.0000 3.7881 F
2.7506 -2.2666 3.4270 F
8.0443 0.0000 0.7762 F
6.1340 -2.2666 1.5971 F
```

Calculated volume (Å³ per cell): 187
Mass density (g cm⁻³): 6.82
Magnetic moment (μB per atom): 0.000
Crystal system: monoclinic

***

Version ii
DFT (GGA-PBE) results for a relaxed HgPb2F8 crystal.

Geometry as POSCAR:
```
HgPb2F8
1.0
7.2740 0.0000 0.0000
-3.6370 6.2994 0.0000
0.0000 0.0000 4.5466
Hg Pb F
1 2 8
Cartesian
0.0000 0.0000 0.0000 Hg
0.0000 4.1996 1.1458 Pb
3.6370 2.0998 3.4008 Pb
-1.8938 5.2821 1.1070 F
0.0094 2.0183 1.1070 F
1.7526 1.0010 3.4396 F
0.0000 4.1996 3.4198 F
3.6370 2.0998 1.1268 F
1.8844 5.2984 1.1070 F
3.6276 4.2811 3.4396 F
5.5308 1.0173 3.4396 F
```

Calculated volume (Å³ per cell): 208
Mass density (g cm⁻³): 6.11
Magnetic moment (μB per atom): 0.000
Crystal system: trigonal

***

version i wins, 6.3 kJ/mol of atoms ahead of the next structure.

***

Version i
DFT (GGA-PBE) results for a relaxed HgPbF2 crystal.

Geometry as POSCAR:
```
HgPbF2
1.0
-3.3976 3.3976 5.9922
3.3976 -3.3976 5.9922
3.3976 3.3976 -5.9922
Hg Pb F
2 2 4
Cartesian
0.0000 0.0000 0.0000 Hg
0.0000 3.3976 2.9961 Hg
3.3976 0.0000 2.9961 Pb
0.0000 0.0000 5.9922 Pb
1.6988 -0.5529 4.4942 F
2.8448 1.6988 1.4981 F
1.6988 3.9505 -1.4981 F
0.5529 1.6988 7.4903 F
```

Calculated volume (Å³ per cell): 277
Mass density (g cm⁻³): 5.35
Magnetic moment (μB per atom): 0.000
Crystal system: tetragonal

***

Version ii
DFT (GGA-PBE) results for a relaxed HgPbF2 crystal.

Geometry as POSCAR:
```
HgPbF2
1.0
1.9857 1.1464 8.8838
-1.9857 1.1464 8.8838
0.0000 -2.2928 8.8838
Hg Pb F
1 1 2
Cartesian
0.0000 0.0000 0.0000 Hg
0.0000 0.0000 13.3258 Pb
0.0000 0.0000 3.4378 F
0.0000 0.0000 23.2138 F
```

Calculated volume (Å³ per cell): 121
Mass density (g cm⁻³): 6.10
Magnetic moment (μB per atom): 0.000
Crystal system: trigonal

***

version ii wins, 5.3 kJ/mol of atoms ahead of the next structure.